A plane-wave DFT calculation with PBE was carried out for ZnCrCd4 after structural relaxation.

extended XYZ file:
```
6
Lattice="0.000 4.011 4.011 4.011 0.000 4.011 4.011 4.011 0.000" Properties=species:S:1:pos:R:3 pbc="T T T"
Zn 0.000 0.000 0.000
Cr 2.006 2.006 2.006
Cd 5.013 3.010 3.010
Cd 3.010 5.013 3.010
Cd 3.010 3.010 5.013
Cd 5.013 5.013 5.013
```

Output
Crystal system = cubic
D(E_F) = 0.5695 states/eV/atom
Energy of formation from the pure elements = 384 meV per atom